(1)
A relaxed structure of Th2Si3GePd4. Source: Alexandria, functional PBE.

Cell and atoms, written as POSCAR:
```
Th2Si3GePd4
1.0
-2.945 -1.699 -2.628
2.337 -3.594 -0.295
-4.827 -3.784 7.854
Th Si Ge Pd
2 3 1 4
direct
0.500 0.000 0.248
0.000 0.500 0.752
0.000 0.000 0.500
0.500 0.000 0.869
0.000 0.500 0.131
0.500 0.500 0.500
0.500 0.500 0.000
0.000 0.000 0.000
0.500 0.000 0.626
0.000 0.500 0.374
```

Summary:
* DFT total energy: -6.5327 eV per atom
* mass density: 9.444 g/cm3
* formation energy (no corrections): -0.8830 eV per atom

---

(2)
A relaxed structure of Th2SiGe3Pd4. Source: Alexandria, functional PBE.

Cell and atoms, written as POSCAR:
```
Th2SiGe3Pd4
1.0
4.358 0.000 0.000
0.000 4.358 0.000
0.000 0.000 9.986
Th Si Ge Pd
2 1 3 4
direct
0.500 0.000 0.251
0.000 0.500 0.749
0.500 0.500 0.500
0.000 0.000 0.500
0.500 0.000 0.865
0.000 0.500 0.135
0.500 0.500 0.000
0.000 0.000 0.000
0.500 0.000 0.617
0.000 0.500 0.383
```

Summary:
* DFT total energy: -6.3165 eV per atom
* mass density: 9.942 g/cm3
* formation energy (no corrections): -0.8279 eV per atom

---

(3)
A relaxed structure of Y2SiGePd6. Source: Alexandria, functional PBE.

Cell and atoms, written as POSCAR:
```
Y2SiGePd6
1.0
6.319 -0.730 1.114
-0.663 6.241 -1.044
3.583 1.993 4.976
Y Si Ge Pd
2 1 1 6
direct
0.753 0.252 0.500
0.247 0.748 0.500
0.000 0.000 0.000
0.500 0.500 0.000
0.196 0.190 0.508
0.753 0.590 0.163
0.303 0.811 0.994
0.697 0.189 0.006
0.247 0.410 0.837
0.804 0.810 0.492
```

Summary:
* DFT total energy: -6.1431 eV per atom
* mass density: 8.308 g/cm3
* formation energy (no corrections): -0.7306 eV per atom

---

(4)
A relaxed structure of Zn2Si2GePd5. Source: Alexandria, functional PBE.

Cell and atoms, written as POSCAR:
```
Zn2Si2GePd5
1.0
-2.944 -0.243 0.487
1.110 -9.997 1.718
1.487 1.870 9.921
Zn Si Ge Pd
4 4 2 10
direct
0.000 0.653 0.153
0.000 0.347 0.847
0.000 0.153 0.347
0.000 0.847 0.653
0.000 0.139 0.639
0.000 0.861 0.361
0.000 0.639 0.861
0.000 0.361 0.139
0.000 0.000 0.000
0.000 0.500 0.500
0.500 0.170 0.128
0.500 0.830 0.872
0.500 0.128 0.830
0.500 0.670 0.372
0.500 0.872 0.170
0.500 0.330 0.628
0.500 0.628 0.670
0.500 0.372 0.330
0.500 0.500 0.000
0.500 0.000 0.500
```

Summary:
* DFT total energy: -4.7801 eV per atom
* mass density: 8.434 g/cm3
* formation energy (no corrections): -0.3825 eV per atom

---

(5)
A relaxed structure of SmGePd2. Source: Alexandria, functional PBE.

Cell and atoms, written as POSCAR:
```
SmGePd2
1.0
4.179 0.000 0.000
0.000 3.667 0.340
0.000 -0.508 5.471
Sm Ge Pd
1 1 2
direct
0.500 0.500 0.000
0.500 0.000 0.500
0.000 0.000 0.248
0.000 0.000 0.752
```

Summary:
* calculated formation energy: -653 meV/atom
* DFT total energy: -5.5833 eV per atom
* mass density: 8.559 g/cm3

---

(6)
A relaxed structure of Sm8Ge5Pd. Source: Alexandria, functional PBE.

Cell and atoms, written as POSCAR:
```
Sm8Ge5Pd
1.0
7.412 0.000 -2.521
-3.711 6.362 -2.654
0.010 0.000 7.829
Sm Ge Pd
8 5 1
direct
0.130 0.750 0.006
0.994 0.124 0.744
0.750 0.245 0.365
0.635 0.384 0.879
0.495 0.616 0.250
0.620 0.876 0.870
0.256 0.250 0.380
0.121 0.755 0.505
0.001 0.374 0.128
0.872 0.873 0.246
0.754 0.626 0.627
0.500 0.000 0.500
0.373 0.127 0.999
0.250 0.500 0.750
```

Summary:
* calculated formation energy: -777 meV/atom
* DFT total energy: -5.4940 eV per atom
* mass density: 7.520 g/cm3

---

Please write out number 6 again, unchanged.
A relaxed structure of Sm8Ge5Pd. Source: Alexandria, functional PBE.

Cell and atoms, written as POSCAR:
```
Sm8Ge5Pd
1.0
7.412 0.000 -2.521
-3.711 6.362 -2.654
0.010 0.000 7.829
Sm Ge Pd
8 5 1
direct
0.130 0.750 0.006
0.994 0.124 0.744
0.750 0.245 0.365
0.635 0.384 0.879
0.495 0.616 0.250
0.620 0.876 0.870
0.256 0.250 0.380
0.121 0.755 0.505
0.001 0.374 0.128
0.872 0.873 0.246
0.754 0.626 0.627
0.500 0.000 0.500
0.373 0.127 0.999
0.250 0.500 0.750
```

Summary:
* calculated formation energy: -777 meV/atom
* DFT total energy: -5.4940 eV per atom
* mass density: 7.520 g/cm3

---

> Among the records above, which one has the lowest mass density?

Sm8Ge5Pd

---

What did the first record say?
A relaxed structure of Th2Si3GePd4. Source: Alexandria, functional PBE.

Cell and atoms, written as POSCAR:
```
Th2Si3GePd4
1.0
-2.945 -1.699 -2.628
2.337 -3.594 -0.295
-4.827 -3.784 7.854
Th Si Ge Pd
2 3 1 4
direct
0.500 0.000 0.248
0.000 0.500 0.752
0.000 0.000 0.500
0.500 0.000 0.869
0.000 0.500 0.131
0.500 0.500 0.500
0.500 0.500 0.000
0.000 0.000 0.000
0.500 0.000 0.626
0.000 0.500 0.374
```

Summary:
* DFT total energy: -6.5327 eV per atom
* mass density: 9.444 g/cm3
* formation energy (no corrections): -0.8830 eV per atom